Entry 1:
The following is a PBE-GGA calculation of an optimized crystal structure of Pr8Sm6Dy, from Alexandria via LeMat-Bulk.

```
data_Pr8Sm6Dy
_cell_length_a 6.727
_cell_length_b 9.562
_cell_length_c 9.562
_cell_angle_alpha 120.00
_cell_angle_beta 90.00
_cell_angle_gamma 90.00
_symmetry_space_group_name_H-M 'P 1'
_symmetry_Int_Tables_number 1
loop_
_symmetry_equiv_pos_as_xyz
'x,y,z'
loop_
_atom_site_label
_atom_site_type_symbol
_atom_site_fract_x
_atom_site_fract_y
_atom_site_fract_z
Pr1 Pr 0.835 0.032 0.284
Pr2 Pr 0.835 0.716 0.747
Pr3 Pr 0.835 0.253 0.968
Pr4 Pr 0.165 0.968 0.716
Pr5 Pr 0.165 0.284 0.253
Pr6 Pr 0.165 0.747 0.032
Pr7 Pr 0.886 0.333 0.667
Pr8 Pr 0.114 0.667 0.333
Sm1 Sm 0.656 0.656 0.088
Sm2 Sm 0.656 0.912 0.568
Sm3 Sm 0.656 0.432 0.344
Sm4 Sm 0.344 0.344 0.912
Sm5 Sm 0.344 0.088 0.432
Sm6 Sm 0.344 0.568 0.656
Dy1 Dy 0.500 0.000 0.000
```

Properties
The symmetry is P-3 (147). The value obtained for the formation energy is 0.16 eV per atom. The total energy is -68.71 eV per formula unit. The value obtained for the relative energy among the computed polymorphs is 11 meV/atom.

Entry 2:
The following is a PBE-GGA calculation of an optimized crystal structure of Ta3AgSb, from Alexandria via LeMat-Bulk.

```
data_Ta3AgSb
_cell_length_a 4.921
_cell_length_b 4.921
_cell_length_c 4.921
_cell_angle_alpha 90.00
_cell_angle_beta 90.00
_cell_angle_gamma 90.00
_symmetry_space_group_name_H-M 'P 1'
_symmetry_Int_Tables_number 1
loop_
_symmetry_equiv_pos_as_xyz
'x,y,z'
loop_
_atom_site_label
_atom_site_type_symbol
_atom_site_fract_x
_atom_site_fract_y
_atom_site_fract_z
Sb1 Sb 0.500 0.500 0.500
Ag1 Ag 0.000 0.000 0.000
Ta1 Ta 0.000 0.500 0.000
Ta2 Ta 0.000 0.000 0.500
Ta3 Ta 0.500 0.000 0.000
```

Properties
The symmetry is Pm-3m (221). The calculation puts the energy relative to the elements, uncorrected at 170.9 kJ per mole of atoms. The total energy is -33.67 eV per formula unit. The value obtained for the relative energy among the computed polymorphs is 0 meV/atom.

Entry 3:
The following is a PBE-GGA calculation of an optimized crystal structure of K3Ta2TiO9, from Alexandria via LeMat-Bulk.

```
data_K3Ta2TiO9
_cell_length_a 5.674
_cell_length_b 5.674
_cell_length_c 6.951
_cell_angle_alpha 90.00
_cell_angle_beta 90.00
_cell_angle_gamma 120.00
_symmetry_space_group_name_H-M 'P 1'
_symmetry_Int_Tables_number 1
loop_
_symmetry_equiv_pos_as_xyz
'x,y,z'
loop_
_atom_site_label
_atom_site_type_symbol
_atom_site_fract_x
_atom_site_fract_y
_atom_site_fract_z
K1 K 0.333 0.667 0.666
K2 K 0.000 0.000 0.000
K3 K 0.667 0.333 0.334
Ta1 Ta 0.333 0.667 0.173
Ta2 Ta 0.667 0.333 0.827
Ti1 Ti 0.000 0.000 0.500
O1 O 0.834 0.166 0.666
O2 O 0.834 0.668 0.666
O3 O 0.332 0.166 0.666
O4 O 0.668 0.834 0.334
O5 O 0.166 0.332 0.334
O6 O 0.166 0.834 0.334
O7 O 0.500 0.000 0.000
O8 O 0.000 0.500 0.000
O9 O 0.500 0.500 0.000
```

Properties
The symmetry is P-3m1 (164). The calculation puts the energy relative to the elements, uncorrected at -243.1 kJ per mole of atoms. The total energy is -117.31 eV per formula unit.

Entry 4:
The following is a PBE-GGA calculation of an optimized crystal structure of Ta2FeCo9, from Alexandria via LeMat-Bulk.

```
data_Ta2FeCo9
_cell_length_a 3.623
_cell_length_b 3.623
_cell_length_c 10.818
_cell_angle_alpha 90.00
_cell_angle_beta 90.00
_cell_angle_gamma 90.00
_symmetry_space_group_name_H-M 'P 1'
_symmetry_Int_Tables_number 1
loop_
_symmetry_equiv_pos_as_xyz
'x,y,z'
loop_
_atom_site_label
_atom_site_type_symbol
_atom_site_fract_x
_atom_site_fract_y
_atom_site_fract_z
Ta1 Ta 0.000 0.000 0.331
Ta2 Ta 0.000 0.000 0.669
Fe1 Fe 0.000 0.000 0.000
Co1 Co 0.500 0.500 0.000
Co2 Co 0.500 0.500 0.331
Co3 Co 0.500 0.500 0.669
Co4 Co 0.500 0.000 0.157
Co5 Co 0.500 0.000 0.500
Co6 Co 0.500 0.000 0.843
Co7 Co 0.000 0.500 0.157
Co8 Co 0.000 0.500 0.500
Co9 Co 0.000 0.500 0.843
```

Properties
The symmetry is P4/mmm (123). The value obtained for the formation energy is -0.12 eV per atom. The total energy is -97.62 eV per formula unit.

Entry 5:
The following is a PBE-GGA calculation of an optimized crystal structure of La5CdSn3, from Alexandria via LeMat-Bulk.

```
data_La5CdSn3
_cell_length_a 9.816
_cell_length_b 9.816
_cell_length_c 6.845
_cell_angle_alpha 90.00
_cell_angle_beta 90.00
_cell_angle_gamma 120.00
_symmetry_space_group_name_H-M 'P 1'
_symmetry_Int_Tables_number 1
loop_
_symmetry_equiv_pos_as_xyz
'x,y,z'
loop_
_atom_site_label
_atom_site_type_symbol
_atom_site_fract_x
_atom_site_fract_y
_atom_site_fract_z
La1 La 0.333 0.667 0.000
La2 La 0.667 0.333 0.500
La3 La 0.667 0.333 0.000
La4 La 0.333 0.667 0.500
La5 La 0.000 0.708 0.750
La6 La 0.708 0.000 0.750
La7 La 0.292 0.292 0.750
La8 La 0.000 0.292 0.250
La9 La 0.292 0.000 0.250
La10 La 0.708 0.708 0.250
Cd1 Cd 0.000 0.000 0.000
Cd2 Cd 0.000 0.000 0.500
Sn1 Sn 0.000 0.367 0.750
Sn2 Sn 0.367 0.000 0.750
Sn3 Sn 0.633 0.633 0.750
Sn4 Sn 0.000 0.633 0.250
Sn5 Sn 0.633 0.000 0.250
Sn6 Sn 0.367 0.367 0.250
```

Properties
The symmetry is P6_3/mcm (193). The value obtained for the formation energy is -0.67 eV per atom. The total energy is -43.57 eV per formula unit.

Entry 6:
The following is a PBE-GGA calculation of an optimized crystal structure of Ca2BeZn, from Alexandria via LeMat-Bulk.

```
data_Ca2BeZn
_cell_length_a 5.997
_cell_length_b 5.997
_cell_length_c 5.997
_cell_angle_alpha 145.77
_cell_angle_beta 129.86
_cell_angle_gamma 62.12
_symmetry_space_group_name_H-M 'P 1'
_symmetry_Int_Tables_number 1
loop_
_symmetry_equiv_pos_as_xyz
'x,y,z'
loop_
_atom_site_label
_atom_site_type_symbol
_atom_site_fract_x
_atom_site_fract_y
_atom_site_fract_z
Be1 Be 0.294 0.794 0.500
Zn1 Zn 0.446 0.446 0.000
Ca1 Ca 0.031 0.031 0.000
Ca2 Ca 0.730 0.230 0.500
```

Properties
The symmetry is Imm2 (44). The value obtained for the formation energy is 0.10 eV per atom. The total energy is -8.62 eV per formula unit. The value obtained for the relative energy among the computed polymorphs is 79 meV/atom.

| no. | size of the total moment (μB per cell) |
| --- | --- |
| 1 | 0.000 |
| 2 | 0.000 |
| 3 | 0.027 |
| 4 | 11.029 |
| 5 | 3.198 |
| 6 | 0.000 |